(1)
! ZrTlBr2, relaxed, DFT PBE; values from VASP
! - mass density (Mg/m³) = 7.11
! - total magnetization (Bohr magnetons per cell) = 2.07
! - E_form (uncorrected) (kJ per mole of atoms) = -16
&SYSTEM
  ibrav = 0, nat = 4, ntyp = 3
/
ATOMIC_SPECIES
Zr 91.22 Zr.upf
Tl 204.38 Tl.upf
Br 79.90 Br.upf
CELL_PARAMETERS angstrom
3.896 -3.912 0.000
3.896 3.912 0.000
0.000 0.000 3.487
ATOMIC_POSITIONS angstrom
Zr 0.000 0.000 0.000
Tl 3.896 0.000 0.000
Br 1.948 1.956 1.744
Br 1.948 -1.956 1.744

(2)
! ZrTlBr2, relaxed, DFT PBE; values from VASP
! - mass density (Mg/m³) = 6.08
! - total magnetization (Bohr magnetons per cell) = 1.27
! - E_form (uncorrected) (kJ per mole of atoms) = -45
&SYSTEM
  ibrav = 0, nat = 4, ntyp = 3
/
ATOMIC_SPECIES
Zr 91.22 Zr.upf
Tl 204.38 Tl.upf
Br 79.90 Br.upf
CELL_PARAMETERS angstrom
-1.692 2.265 8.118
1.692 -2.265 8.118
1.692 2.265 -8.118
ATOMIC_POSITIONS angstrom
Zr 0.000 0.000 0.000
Tl 0.000 2.265 4.948
Br 1.692 0.000 2.129
Br 0.000 0.000 7.362

(3)
! Zr2TlBr, relaxed, DFT PBE; values from VASP
! - mass density (Mg/m³) = 7.62
! - total magnetization (Bohr magnetons per cell) = 0.00
! - E_form (uncorrected) (kJ per mole of atoms) = 18
&SYSTEM
  ibrav = 0, nat = 8, ntyp = 3
/
ATOMIC_SPECIES
Zr 91.22 Zr.upf
Tl 204.38 Tl.upf
Br 79.90 Br.upf
CELL_PARAMETERS angstrom
-2.203 2.203 10.473
2.203 -2.203 10.473
2.203 2.203 -10.473
ATOMIC_POSITIONS angstrom
Zr 3.305 1.083 -2.618
Zr 1.083 1.102 2.618
Zr -1.102 1.120 7.855
Zr 1.120 1.102 13.092
Tl 0.000 0.000 0.000
Tl 0.000 2.203 5.237
Br 2.203 0.000 5.237
Br 0.000 0.000 10.473

Number 1: offset from the most stable computed form 639 meV/atom. Number 2: offset from the most stable computed form 333 meV/atom. Number 3: offset from the most stable computed form 446 meV/atom.